# PBE ScPIr2, optimized geometry
data_ScPIr2
_chemical_formula_sum 'Sc2 P2 Ir4'
_symmetry_space_group_name_H-M 'C 1 2/m 1'
_symmetry_Int_Tables_number 12
_symmetry_space_group_name_Hall '-C 2y'
_cell_length_a 5.529
_cell_length_b 9.058
_cell_length_c 2.853
_cell_angle_alpha 90.00
_cell_angle_beta 120.93
_cell_angle_gamma 90.00
loop_
_atom_site_label
_atom_site_type_symbol
_atom_site_fract_x
_atom_site_fract_y
_atom_site_fract_z
Sc1 Sc 0.000 0.000 0.000
P1 P 0.000 0.500 0.000
Ir1 Ir 0.250 0.250 0.500
# - Crystal system: monoclinic
# - Calculated volume: 15.32 Å³ per atom

# PBE CaEr5Cd6, optimized geometry
data_CaEr5Cd6
_chemical_formula_sum 'Ca2 Er10 Cd12'
_symmetry_space_group_name_H-M 'C m m m'
_symmetry_Int_Tables_number 65
_symmetry_space_group_name_Hall '-C 2 2'
_cell_length_a 5.284
_cell_length_b 15.884
_cell_length_c 7.404
_cell_angle_alpha 90.00
_cell_angle_beta 90.00
_cell_angle_gamma 90.00
loop_
_atom_site_label
_atom_site_type_symbol
_atom_site_fract_x
_atom_site_fract_y
_atom_site_fract_z
Ca1 Ca 0.000 0.000 0.000
Er1 Er 0.000 0.000 0.500
Er2 Er 0.000 0.333 0.000
Er3 Er 0.000 0.335 0.500
Cd1 Cd 0.000 0.169 0.254
Cd2 Cd 0.000 0.500 0.256
# - Crystal system: orthorhombic
# - Calculated volume: 25.89 Å³ per atom

# PBE YHo2CdC, optimized geometry
data_YHo2CdC
_chemical_formula_sum 'Y1 Ho2 Cd1 C1'
_symmetry_space_group_name_H-M 'P 4/m m m'
_symmetry_Int_Tables_number 123
_symmetry_space_group_name_Hall '-P 4 2'
_cell_length_a 4.902
_cell_length_b 4.902
_cell_length_c 4.950
_cell_angle_alpha 90.00
_cell_angle_beta 90.00
_cell_angle_gamma 90.00
loop_
_atom_site_label
_atom_site_type_symbol
_atom_site_fract_x
_atom_site_fract_y
_atom_site_fract_z
Y1 Y 0.000 0.000 0.000
Ho1 Ho 0.000 0.500 0.500
Cd1 Cd 0.500 0.500 0.000
C1 C 0.000 0.000 0.500
# - Crystal system: tetragonal
# - Calculated volume: 23.79 Å³ per atom

Table of formation energy (eV/f.u.), in record order: -1.5 -3.9 -1.6